LiMgAu2 at its PBEsol-relaxed geometry, computed with meta-GGA SCAN.

a = 4.5268 Å, b = 4.5268 Å, c = 4.5268 Å
α = 60.00°, β = 60.00°, γ = 60.00°
Sites, in units of the cell vectors:
Li 0.5000 0.5000 0.5000
Au 0.0000 0.0000 0.0000
Au 0.7500 0.7500 0.7500
Mg 0.2500 0.2500 0.2500

Output
DFT formation energy ... -0.603 eV/atom
ρ ... 10.76 Mg/m³
V ... 16.40 Å³ per atom
Space-group type ... No. 216

***

SiTe2Ir2 at its PBEsol-relaxed geometry, computed with meta-GGA SCAN.

a = 5.2210 Å, b = 5.2210 Å, c = 5.2210 Å
α = 94.46°, β = 117.46°, γ = 117.46°
Sites, in units of the cell vectors:
Te 0.5000 0.7500 0.2500
Ir 0.0000 0.6902 0.6902
Si 0.0000 0.0000 0.0000
Ir 0.0000 0.3098 0.3098
Te 0.5000 0.2500 0.7500

Output
ρ ... 10.64 Mg/m³
V ... 20.83 Å³ per atom
Space-group type ... No. 139
Energy relative to the elements, uncorrected ... 0.257 eV/atom

***

InIr2Rh at its PBEsol-relaxed geometry, computed with meta-GGA SCAN.

a = 2.8147 Å, b = 2.8147 Å, c = 7.6513 Å
α = 90.00°, β = 90.00°, γ = 90.00°
Sites, in units of the cell vectors:
Ir 0.0000 0.0000 0.7672
Ir 0.0000 0.0000 0.2328
In 0.5000 0.5000 0.5000
Rh 0.5000 0.5000 0.0000

Output
DFT formation energy ... 0.072 eV/atom
ρ ... 16.50 Mg/m³
V ... 15.15 Å³ per atom
Space-group type ... No. 123

***

MnBeTcPd2 at its PBEsol-relaxed geometry, computed with meta-GGA SCAN.

a = 4.2403 Å, b = 4.7332 Å, c = 4.7332 Å
α = 90.00°, β = 90.00°, γ = 90.00°
Last column: magnetic moment on the atom in μB.
Sites, in units of the cell vectors:
Pd 0.0000 0.5000 0.0000  -0.17
Mn 0.5000 0.0000 0.0000  3.00
Be 0.5000 0.5000 0.5000  -0.03
Pd 0.0000 0.0000 0.5000  -0.17
Tc 0.0000 0.0000 0.0000  -0.81

Output
DFT formation energy ... 1.442 eV/atom
ρ ... 6.55 Mg/m³
V ... 19.00 Å³ per atom
Space-group type ... No. 123